# 1
# AlNi3C (PBE-GGA, optimized geometry)
# Energy of formation   -177.7 meV per atom
# Raw total energy   -6.240 eV/atom
data_AlNi3C
_cell_length_a 3.766
_cell_length_b 3.766
_cell_length_c 3.766
_cell_angle_alpha 90.00
_cell_angle_beta 90.00
_cell_angle_gamma 90.00
_symmetry_space_group_name_H-M 'P m -3 m'
_symmetry_Int_Tables_number 221
_symmetry_space_group_name_Hall '-P 4 2 3'
loop_
_atom_site_label
_atom_site_type_symbol
_atom_site_fract_x
_atom_site_fract_y
_atom_site_fract_z
Al1 Al 0.000 0.000 0.000
Ni1 Ni 0.000 0.500 0.500
C1 C 0.500 0.500 0.500

---

# 2
# MgIn3Hg5 (PBE-GGA, optimized geometry)
# Energy of formation   9.9 meV per atom
# Raw total energy   -1.248 eV/atom
# Energy relative to the lowest polymorph listed for this composition   3.6 kJ/mol of atoms
data_MgIn3Hg5
_cell_length_a 7.588
_cell_length_b 7.588
_cell_length_c 16.733
_cell_angle_alpha 90.00
_cell_angle_beta 90.00
_cell_angle_gamma 90.00
_symmetry_space_group_name_H-M 'I 4/m c m'
_symmetry_Int_Tables_number 140
_symmetry_space_group_name_Hall '-I 4 2c'
loop_
_atom_site_label
_atom_site_type_symbol
_atom_site_fract_x
_atom_site_fract_y
_atom_site_fract_z
Mg1 Mg 0.000 0.500 0.250
In1 In 0.000 0.000 0.250
In2 In 0.135 0.365 0.000
Hg1 Hg 0.000 0.000 0.000
Hg2 Hg 0.203 0.297 0.357

---

# 3
# CdIn3Ga3 (PBE-GGA, optimized geometry)
# Energy of formation   45.8 meV per atom
# Raw total energy   -2.556 eV/atom
# Energy relative to the lowest polymorph listed for this composition   0.0 kJ/mol of atoms
data_CdIn3Ga3
_cell_length_a 8.5907
_cell_length_b 8.5907
_cell_length_c 5.0992
_cell_angle_alpha 90.00
_cell_angle_beta 90.00
_cell_angle_gamma 120.00
_symmetry_space_group_name_H-M 'P 63/m'
_symmetry_Int_Tables_number 176
_symmetry_space_group_name_Hall '-P 6c'
loop_
_atom_site_label
_atom_site_type_symbol
_atom_site_fract_x
_atom_site_fract_y
_atom_site_fract_z
Cd1 Cd 0.3333 0.6667 0.2500
In1 In 0.0903 0.6360 0.7500
Ga1 Ga 0.0422 0.8304 0.2500

---

# 4
# BaLaCu2Pd (PBE-GGA, optimized geometry)
# Energy of formation   712.6 meV per atom
# Raw total energy   -3.334 eV/atom
data_BaLaCu2Pd
_cell_length_a 5.270
_cell_length_b 5.270
_cell_length_c 5.353
_cell_angle_alpha 90.00
_cell_angle_beta 90.00
_cell_angle_gamma 90.00
_symmetry_space_group_name_H-M 'P 4/m m m'
_symmetry_Int_Tables_number 123
_symmetry_space_group_name_Hall '-P 4 2'
loop_
_atom_site_label
_atom_site_type_symbol
_atom_site_fract_x
_atom_site_fract_y
_atom_site_fract_z
Ba1 Ba 0.000 0.000 0.000
La1 La 0.500 0.500 0.500
Cu1 Cu 0.000 0.500 0.000
Pd1 Pd 0.000 0.000 0.500

---

# 5
# Pm4Nd3In (PBE-GGA, optimized geometry)
# Energy of formation   -82.5 meV per atom
# Raw total energy   -4.588 eV/atom
# Energy relative to the lowest polymorph listed for this composition   1.9 kJ/mol of atoms
data_Pm4Nd3In
_cell_length_a 10.157
_cell_length_b 7.135
_cell_length_c 7.192
_cell_angle_alpha 90.00
_cell_angle_beta 90.00
_cell_angle_gamma 90.00
_symmetry_space_group_name_H-M 'P m n 21'
_symmetry_Int_Tables_number 31
loop_
_symmetry_equiv_pos_as_xyz
'x,y,z'
'-x+1/2,-y,z+1/2'
'-x,y,z'
'x+1/2,-y,z+1/2'
loop_
_atom_site_label
_atom_site_type_symbol
_atom_site_fract_x
_atom_site_fract_y
_atom_site_fract_z
Pm1 Pm 0.000 0.001 0.000
Pm2 Pm 0.000 0.499 0.499
Pm3 Pm 0.249 0.740 0.750
Nd1 Nd 0.000 0.000 0.499
Nd2 Nd 0.250 0.258 0.750
In1 In 0.000 0.500 0.000

---

# 6
# CoSbAu (PBE-GGA, optimized geometry)
# Raw total energy   -4.578 eV/atom
# Raw formation energy   0.257 eV/atom
data_CoSbAu
_cell_length_a 4.2541
_cell_length_b 4.2541
_cell_length_c 3.4326
_cell_angle_alpha 90.00
_cell_angle_beta 90.00
_cell_angle_gamma 120.00
_symmetry_space_group_name_H-M 'P 3 m 1'
_symmetry_Int_Tables_number 156
loop_
_symmetry_equiv_pos_as_xyz
'x,y,z'
'-y,x-y,z'
'-x+y,-x,z'
'-y,-x,z'
'-x+y,y,z'
'x,x-y,z'
loop_
_atom_site_label
_atom_site_type_symbol
_atom_site_fract_x
_atom_site_fract_y
_atom_site_fract_z
Co1 Co 0.0000 0.0000 0.0000
Sb1 Sb 0.3333 0.6667 0.9966
Au1 Au 0.6667 0.3333 0.4981

---

# 7
# TbY5Er5 (PBE-GGA, optimized geometry)
# Energy of formation   152.7 meV per atom
# Raw total energy   -5.280 eV/atom
# Energy relative to the lowest polymorph listed for this composition   0.0 kJ/mol of atoms
data_TbY5Er5
_cell_length_a 6.837
_cell_length_b 6.838
_cell_length_c 8.511
_cell_angle_alpha 75.34
_cell_angle_beta 75.32
_cell_angle_gamma 70.51
_symmetry_space_group_name_H-M 'P -1'
_symmetry_Int_Tables_number 2
loop_
_symmetry_equiv_pos_as_xyz
'x,y,z'
'-x,-y,-z'
loop_
_atom_site_label
_atom_site_type_symbol
_atom_site_fract_x
_atom_site_fract_y
_atom_site_fract_z
Tb1 Tb 0.000 0.000 0.000
Y1 Y 0.191 0.685 0.363
Y2 Y 0.355 0.853 0.637
Y3 Y 0.500 0.000 0.000
Er1 Er 0.148 0.227 0.277
Er2 Er 0.270 0.352 0.725
Er3 Er 0.500 0.500 0.000

---

# 8
# Tm4Hg2PS (PBE-GGA, optimized geometry)
# Raw total energy   -4.601 eV/atom
# Raw formation energy   -1.098 eV/atom
data_Tm4Hg2PS
_cell_length_a 6.573
_cell_length_b 3.821
_cell_length_c 7.921
_cell_angle_alpha 90.00
_cell_angle_beta 106.24
_cell_angle_gamma 90.00
_symmetry_space_group_name_H-M 'P 1 2/m 1'
_symmetry_Int_Tables_number 10
loop_
_symmetry_equiv_pos_as_xyz
'x,y,z'
'-x,-y,-z'
'-x,y,-z'
'x,-y,z'
loop_
_atom_site_label
_atom_site_type_symbol
_atom_site_fract_x
_atom_site_fract_y
_atom_site_fract_z
Tm1 Tm 0.235 0.000 0.211
Tm2 Tm 0.260 0.500 0.788
Hg1 Hg 0.000 0.000 0.500
Hg2 Hg 0.500 0.500 0.500
P1 P 0.000 0.500 0.000
S1 S 0.500 0.000 0.000

---

# 9
# LaDyTcAg (PBE-GGA, optimized geometry)
# Energy of formation   -33.9 meV per atom
# Raw total energy   -5.721 eV/atom
data_LaDyTcAg
_cell_length_a 7.198
_cell_length_b 7.198
_cell_length_c 7.198
_cell_angle_alpha 90.00
_cell_angle_beta 90.00
_cell_angle_gamma 90.00
_symmetry_space_group_name_H-M 'F -4 3 m'
_symmetry_Int_Tables_number 216
_symmetry_space_group_name_Hall 'F -4 2 3'
loop_
_atom_site_label
_atom_site_type_symbol
_atom_site_fract_x
_atom_site_fract_y
_atom_site_fract_z
La1 La 0.000 0.000 0.000
Dy1 Dy 0.000 0.000 0.500
Tc1 Tc 0.250 0.250 0.750
Ag1 Ag 0.250 0.250 0.250

---

# 10
# TaGa (PBE-GGA, optimized geometry)
# Energy of formation   -129.6 meV per atom
# Raw total energy   -7.569 eV/atom
data_TaGa
_cell_length_a 3.586
_cell_length_b 4.404
_cell_length_c 4.238
_cell_angle_alpha 90.00
_cell_angle_beta 90.00
_cell_angle_gamma 90.00
_symmetry_space_group_name_H-M 'C m m m'
_symmetry_Int_Tables_number 65
_symmetry_space_group_name_Hall '-C 2 2'
loop_
_atom_site_label
_atom_site_type_symbol
_atom_site_fract_x
_atom_site_fract_y
_atom_site_fract_z
Ta1 Ta 0.000 0.000 0.000
Ga1 Ga 0.000 0.500 0.500

---

# 11
# Rb2ScV (PBE-GGA, optimized geometry)
# Energy of formation   1200.8 meV per atom
# Raw total energy   -3.145 eV/atom
# Energy relative to the lowest polymorph listed for this composition   0.0 kJ/mol of atoms
data_Rb2ScV
_cell_length_a 13.389
_cell_length_b 13.389
_cell_length_c 5.441
_cell_angle_alpha 90.00
_cell_angle_beta 90.00
_cell_angle_gamma 90.00
_symmetry_space_group_name_H-M 'I -4 2 d'
_symmetry_Int_Tables_number 122
_symmetry_space_group_name_Hall 'I -4 2bw'
loop_
_atom_site_label
_atom_site_type_symbol
_atom_site_fract_x
_atom_site_fract_y
_atom_site_fract_z
Rb1 Rb 0.102 0.750 0.125
Sc1 Sc 0.000 0.000 0.500
V1 V 0.000 0.000 0.000

---

# 12
# Pr2Y13 (PBE-GGA, optimized geometry)
# Energy of formation   40.2 meV per atom
# Raw total energy   -6.199 eV/atom
data_Pr2Y13
_cell_length_a 6.676
_cell_length_b 8.815
_cell_length_c 9.099
_cell_angle_alpha 69.04
_cell_angle_beta 84.01
_cell_angle_gamma 80.69
_symmetry_space_group_name_H-M 'P -1'
_symmetry_Int_Tables_number 2
loop_
_symmetry_equiv_pos_as_xyz
'x,y,z'
'-x,-y,-z'
loop_
_atom_site_label
_atom_site_type_symbol
_atom_site_fract_x
_atom_site_fract_y
_atom_site_fract_z
Pr1 Pr 0.199 0.305 0.396
Y1 Y 0.000 0.500 0.000
Y2 Y 0.095 0.923 0.694
Y3 Y 0.136 0.696 0.265
Y4 Y 0.238 0.076 0.975
Y5 Y 0.335 0.498 0.669
Y6 Y 0.431 0.920 0.360
Y7 Y 0.467 0.697 0.934

---

# 13
# SrAlSe2 (PBE-GGA, optimized geometry)
# Raw total energy   -3.894 eV/atom
# Raw formation energy   -0.796 eV/atom
data_SrAlSe2
_cell_length_a 4.985
_cell_length_b 5.315
_cell_length_c 7.202
_cell_angle_alpha 90.00
_cell_angle_beta 90.00
_cell_angle_gamma 90.00
_symmetry_space_group_name_H-M 'C m m m'
_symmetry_Int_Tables_number 65
_symmetry_space_group_name_Hall '-C 2 2'
loop_
_atom_site_label
_atom_site_type_symbol
_atom_site_fract_x
_atom_site_fract_y
_atom_site_fract_z
Sr1 Sr 0.000 0.000 0.000
Al1 Al 0.000 0.000 0.500
Se1 Se 0.000 0.500 0.270

---

# 14
# SiTe2Rh (PBE-GGA, optimized geometry)
# Raw total energy   -4.893 eV/atom
# Raw formation energy   -0.129 eV/atom
data_SiTe2Rh
_cell_length_a 4.386
_cell_length_b 5.439
_cell_length_c 7.132
_cell_angle_alpha 90.00
_cell_angle_beta 90.00
_cell_angle_gamma 90.00
_symmetry_space_group_name_H-M 'A m m 2'
_symmetry_Int_Tables_number 38
loop_
_symmetry_equiv_pos_as_xyz
'x,y,z'
'-x,-y,z'
'-x,y,z'
'x,-y,z'
'x,y+1/2,z+1/2'
'-x,-y+1/2,z+1/2'
'-x,y+1/2,z+1/2'
'x,-y+1/2,z+1/2'
loop_
_atom_site_label
_atom_site_type_symbol
_atom_site_fract_x
_atom_site_fract_y
_atom_site_fract_z
Si1 Si 0.000 0.000 0.000
Te1 Te 0.000 0.000 0.605
Te2 Te 0.500 0.000 0.248
Rh1 Rh 0.500 0.000 0.838

---

# 15
# Er4TlBiN (PBE-GGA, optimized geometry)
# Raw total energy   -5.529 eV/atom
# Raw formation energy   -0.840 eV/atom
data_Er4TlBiN
_cell_length_a 6.635
_cell_length_b 15.872
_cell_length_c 6.642
_cell_angle_alpha 90.00
_cell_angle_beta 90.00
_cell_angle_gamma 90.00
_symmetry_space_group_name_H-M 'C m c m'
_symmetry_Int_Tables_number 63
_symmetry_space_group_name_Hall '-C 2c 2'
loop_
_atom_site_label
_atom_site_type_symbol
_atom_site_fract_x
_atom_site_fract_y
_atom_site_fract_z
Er1 Er 0.000 0.091 0.250
Er2 Er 0.000 0.403 0.250
Er3 Er 0.250 0.250 0.000
Tl1 Tl 0.000 0.108 0.750
Bi1 Bi 0.000 0.396 0.750
N1 N 0.000 0.247 0.250

---

# 16
# Pm5SmHo3 (PBE-GGA, optimized geometry)
# Energy of formation   301.3 meV per atom
# Raw total energy   -4.388 eV/atom
# Energy relative to the lowest polymorph listed for this composition   12.4 kJ/mol of atoms
data_Pm5SmHo3
_cell_length_a 9.173
_cell_length_b 9.173
_cell_length_c 14.553
_cell_angle_alpha 90.00
_cell_angle_beta 90.00
_cell_angle_gamma 90.00
_symmetry_space_group_name_H-M 'I 4/m c m'
_symmetry_Int_Tables_number 140
_symmetry_space_group_name_Hall '-I 4 2c'
loop_
_atom_site_label
_atom_site_type_symbol
_atom_site_fract_x
_atom_site_fract_y
_atom_site_fract_z
Pm1 Pm 0.000 0.000 0.000
Pm2 Pm 0.202 0.298 0.132
Sm1 Sm 0.000 0.500 0.250
Ho1 Ho 0.000 0.000 0.250
Ho2 Ho 0.111 0.389 0.500

---

# 17
# Li2ZrTe (PBE-GGA, optimized geometry)
# Raw total energy   -3.888 eV/atom
# Raw formation energy   -0.008 eV/atom
data_Li2ZrTe
_cell_length_a 3.122
_cell_length_b 3.122
_cell_length_c 9.100
_cell_angle_alpha 90.00
_cell_angle_beta 90.00
_cell_angle_gamma 90.00
_symmetry_space_group_name_H-M 'P 4/m m m'
_symmetry_Int_Tables_number 123
_symmetry_space_group_name_Hall '-P 4 2'
loop_
_atom_site_label
_atom_site_type_symbol
_atom_site_fract_x
_atom_site_fract_y
_atom_site_fract_z
Li1 Li 0.000 0.000 0.225
Zr1 Zr 0.500 0.500 0.500
Te1 Te 0.500 0.500 0.000

---

# 18
# Sm5Dy12Tm2 (PBE-GGA, optimized geometry)
# Energy of formation   117.5 meV per atom
# Raw total energy   -4.502 eV/atom
# Energy relative to the lowest polymorph listed for this composition   0.0 kJ/mol of atoms
data_Sm5Dy12Tm2
_cell_length_a 6.014
_cell_length_b 9.747
_cell_length_c 11.242
_cell_angle_alpha 70.09
_cell_angle_beta 82.73
_cell_angle_gamma 88.68
_symmetry_space_group_name_H-M 'P -1'
_symmetry_Int_Tables_number 2
loop_
_symmetry_equiv_pos_as_xyz
'x,y,z'
'-x,-y,-z'
loop_
_atom_site_label
_atom_site_type_symbol
_atom_site_fract_x
_atom_site_fract_y
_atom_site_fract_z
Sm1 Sm 0.000 0.000 0.000
Sm2 Sm 0.099 0.963 0.345
Sm3 Sm 0.498 0.456 0.168
Dy1 Dy 0.039 0.684 0.657
Dy2 Dy 0.073 0.316 0.041
Dy3 Dy 0.164 0.317 0.725
Dy4 Dy 0.387 0.902 0.789
Dy5 Dy 0.428 0.822 0.108
Dy6 Dy 0.430 0.182 0.487
Tm1 Tm 0.283 0.565 0.421

---

# 19
# Hf6ZnN (PBE-GGA, optimized geometry)
# Raw total energy   -8.942 eV/atom
# Raw formation energy   -0.277 eV/atom
data_Hf6ZnN
_cell_length_a 5.706
_cell_length_b 5.806
_cell_length_c 5.998
_cell_angle_alpha 91.06
_cell_angle_beta 114.81
_cell_angle_gamma 115.43
_symmetry_space_group_name_H-M 'P -1'
_symmetry_Int_Tables_number 2
loop_
_symmetry_equiv_pos_as_xyz
'x,y,z'
'-x,-y,-z'
loop_
_atom_site_label
_atom_site_type_symbol
_atom_site_fract_x
_atom_site_fract_y
_atom_site_fract_z
Hf1 Hf 0.067 0.121 0.276
Hf2 Hf 0.292 0.712 0.267
Hf3 Hf 0.298 0.519 0.742
Zn1 Zn 0.500 0.000 0.000
N1 N 0.500 0.500 0.500

---

# 20
# BiAsP2Cl (PBE-GGA, optimized geometry)
# Raw total energy   -3.748 eV/atom
# Raw formation energy   0.491 eV/atom
# Energy relative to the lowest polymorph listed for this composition   0.0 kJ/mol of atoms
data_BiAsP2Cl
_cell_length_a 4.863
_cell_length_b 4.863
_cell_length_c 4.797
_cell_angle_alpha 90.00
_cell_angle_beta 90.00
_cell_angle_gamma 90.00
_symmetry_space_group_name_H-M 'P 4/m m m'
_symmetry_Int_Tables_number 123
_symmetry_space_group_name_Hall '-P 4 2'
loop_
_atom_site_label
_atom_site_type_symbol
_atom_site_fract_x
_atom_site_fract_y
_atom_site_fract_z
Bi1 Bi 0.000 0.000 0.000
As1 As 0.500 0.500 0.500
P1 P 0.000 0.500 0.500
Cl1 Cl 0.500 0.500 0.000

---

# 21
# Li3CaPd3 (PBE-GGA, optimized geometry)
# Energy of formation   -7.1 meV per atom
# Raw total energy   -3.339 eV/atom
data_Li3CaPd3
_cell_length_a 6.536
_cell_length_b 6.536
_cell_length_c 6.536
_cell_angle_alpha 90.00
_cell_angle_beta 90.00
_cell_angle_gamma 90.00
_symmetry_space_group_name_H-M 'P m -3 n'
_symmetry_Int_Tables_number 223
_symmetry_space_group_name_Hall '-P 4n 2 3'
loop_
_atom_site_label
_atom_site_type_symbol
_atom_site_fract_x
_atom_site_fract_y
_atom_site_fract_z
Li1 Li 0.000 0.250 0.500
Ca1 Ca 0.000 0.000 0.000
Pd1 Pd 0.000 0.500 0.250

---

# 22
# MoPtSe2 (PBE-GGA, optimized geometry)
# Raw total energy   -5.985 eV/atom
# Raw formation energy   -0.025 eV/atom
# Energy relative to the lowest polymorph listed for this composition   10.7 kJ/mol of atoms
data_MoPtSe2
_cell_length_a 3.0794
_cell_length_b 3.0794
_cell_length_c 29.5570
_cell_angle_alpha 90.00
_cell_angle_beta 90.00
_cell_angle_gamma 120.00
_symmetry_space_group_name_H-M 'R 3 m'
_symmetry_Int_Tables_number 160
_symmetry_space_group_name_Hall 'R 3 -2"'
loop_
_atom_site_label
_atom_site_type_symbol
_atom_site_fract_x
_atom_site_fract_y
_atom_site_fract_z
Mo1 Mo 0.0000 0.0000 0.0000
Pt1 Pt 0.0000 0.0000 0.7411
Se1 Se 0.0000 0.0000 0.2732
Se2 Se 0.0000 0.0000 0.4745

---

# 23
# Ba2SiGe (PBE-GGA, optimized geometry)
# Raw total energy   -3.634 eV/atom
# Raw formation energy   -0.163 eV/atom
# Energy relative to the lowest polymorph listed for this composition   32.8 kJ/mol of atoms
data_Ba2SiGe
_cell_length_a 8.077
_cell_length_b 8.077
_cell_length_c 8.077
_cell_angle_alpha 90.00
_cell_angle_beta 90.00
_cell_angle_gamma 90.00
_symmetry_space_group_name_H-M 'F m -3 m'
_symmetry_Int_Tables_number 225
_symmetry_space_group_name_Hall '-F 4 2 3'
loop_
_atom_site_label
_atom_site_type_symbol
_atom_site_fract_x
_atom_site_fract_y
_atom_site_fract_z
Ba1 Ba 0.250 0.250 0.250
Si1 Si 0.000 0.000 0.000
Ge1 Ge 0.000 0.000 0.500